# Li2SbAs

A relaxed structure of Li2SbAs (GGA-PBEsol, Alexandria).

Summary:
energy above the lowest structure with this stoichiometry: 0.001 eV per atom
formation energy without anion corrections: -0.45 eV per atom

a = 4.219 Å, b = 4.219 Å, c = 8.228 Å
α = 90.00°, β = 90.00°, γ = 90.00°
Space group I4/mmm (No. 139)
Unique sites:
1 Li 0.000 0.500 0.250
2 Sb 0.000 0.000 0.000
3 As 0.000 0.000 0.500

***

# LiSbAs2

A relaxed structure of LiSbAs2 (GGA-PBEsol, Alexandria).

Summary:
formation energy without anion corrections: -0.04 eV per atom

a = 3.306 Å, b = 3.306 Å, c = 7.510 Å
α = 90.00°, β = 90.00°, γ = 90.00°
Space group P4mm (No. 99)
Unique sites:
1 Li 0.000 0.000 0.000
2 Sb 0.500 0.500 0.741
3 As 0.000 0.000 0.392
4 As 0.500 0.500 0.232

***

# Li2ScAs

A relaxed structure of Li2ScAs (GGA-PBEsol, Alexandria).

Summary:
energy relative to the elements: -0.470 eV per atom

a = 3.814 Å, b = 3.814 Å, c = 20.307 Å
α = 90.00°, β = 90.00°, γ = 90.00°
Space group I-42d (No. 122)
Unique sites:
1 Li 0.210 0.750 0.125
2 Sc 0.000 0.000 0.500
3 As 0.000 0.000 0.000

***

# Li2ScAs

A relaxed structure of Li2ScAs (GGA-PBEsol, Alexandria).

Summary:
energy relative to the elements: -0.658 eV per atom

a = 3.871 Å, b = 3.871 Å, c = 4.540 Å
α = 90.00°, β = 90.00°, γ = 90.00°
Space group P4/mmm (No. 123)
Unique sites:
1 Li 0.000 0.500 0.000
2 Sc 0.000 0.000 0.500
3 As 0.500 0.500 0.500

***

# LiScAs2

A relaxed structure of LiScAs2 (GGA-PBEsol, Alexandria).

Summary:
energy above the lowest structure with this stoichiometry: 0.090 eV per atom
energy relative to the elements: -0.715 eV per atom

a = 4.920 Å, b = 4.920 Å, c = 2.889 Å
α = 90.00°, β = 90.00°, γ = 90.00°
Space group P4/mmm (No. 123)
Unique sites:
1 Li 0.000 0.000 0.000
2 Sc 0.500 0.500 0.000
3 As 0.000 0.500 0.500

***

# LiSc3As

A relaxed structure of LiSc3As (GGA-PBEsol, Alexandria).

Summary:
energy relative to the elements: -0.168 eV per atom

a = 5.073 Å, b = 5.073 Å, c = 5.073 Å
α = 90.00°, β = 90.00°, γ = 90.00°
Space group Pm-3m (No. 221)
Unique sites:
1 Li 0.000 0.000 0.000
2 Sc 0.000 0.500 0.500
3 As 0.500 0.500 0.500

***

# Li2ScAs

A relaxed structure of Li2ScAs (GGA-PBEsol, Alexandria).

Summary:
energy relative to the elements: -0.493 eV per atom

a = 3.412 Å, b = 4.161 Å, c = 10.781 Å
α = 90.00°, β = 90.00°, γ = 90.00°
Space group Immm (No. 71)
Unique sites:
1 Li 0.000 0.000 0.205
2 Sc 0.000 0.500 0.000
3 As 0.000 0.500 0.500

***

# Li2ScAs2

A relaxed structure of Li2ScAs2 (GGA-PBEsol, Alexandria).

Summary:
energy relative to the elements: -0.645 eV per atom

a = 7.525 Å, b = 7.525 Å, c = 2.989 Å
α = 90.00°, β = 90.00°, γ = 90.00°
Space group P4/mbm (No. 127)
Unique sites:
1 Li 0.121 0.379 0.000
2 Sc 0.000 0.000 0.500
3 As 0.178 0.678 0.500

***

# LiScAs2

A relaxed structure of LiScAs2 (GGA-PBEsol, Alexandria).

Summary:
energy above the lowest structure with this stoichiometry: 0.000 eV per atom
energy relative to the elements: -0.805 eV per atom

a = 9.919 Å, b = 3.773 Å, c = 4.003 Å
α = 90.00°, β = 107.38°, γ = 90.00°
Space group Cm (No. 8)
Unique sites:
1 Li 0.000 0.000 0.000
2 Sc 0.246 0.000 0.619
3 As 0.028 0.500 0.576
4 As 0.253 0.500 0.108

***

# LiScAs2

A relaxed structure of LiScAs2 (GGA-PBEsol, Alexandria).

Summary:
energy above the lowest structure with this stoichiometry: 0.142 eV per atom
energy relative to the elements: -0.663 eV per atom

a = 6.567 Å, b = 6.567 Å, c = 6.567 Å
α = 90.00°, β = 90.00°, γ = 90.00°
Space group Fm-3m (No. 225)
Unique sites:
1 Li 0.000 0.000 0.000
2 Sc 0.000 0.000 0.500
3 As 0.250 0.250 0.250

***

# LiAsSe2

A relaxed structure of LiAsSe2 (GGA-PBEsol, Alexandria).

Summary:
formation energy without anion corrections: -0.52 eV per atom

a = 12.091 Å, b = 3.745 Å, c = 3.873 Å
α = 90.00°, β = 93.34°, γ = 90.00°
Space group Cm (No. 8)
Unique sites:
1 Li 0.000 0.000 0.000
2 As 0.313 0.000 0.444
3 Se 0.007 0.500 0.507
4 Se 0.270 0.500 0.007

***

# LiAs2Se

A relaxed structure of LiAs2Se (GGA-PBEsol, Alexandria).

Summary:
formation energy without anion corrections: -0.03 eV per atom

a = 4.471 Å, b = 4.471 Å, c = 7.334 Å
α = 90.00°, β = 90.00°, γ = 90.00°
Space group I-4m2 (No. 119)
Unique sites:
1 Li 0.000 0.000 0.000
2 As 0.000 0.000 0.500
3 As 0.000 0.500 0.750
4 Se 0.000 0.500 0.250

***

# LiAsSe2

A relaxed structure of LiAsSe2 (GGA-PBEsol, Alexandria).

Summary:
formation energy without anion corrections: -0.22 eV per atom

a = 3.819 Å, b = 5.684 Å, c = 7.346 Å
α = 90.00°, β = 90.00°, γ = 90.00°
Space group Immm (No. 71)
Unique sites:
1 Li 0.000 0.000 0.000
2 As 0.000 0.000 0.500
3 Se 0.000 0.500 0.245

***

# LiAsSe2

A relaxed structure of LiAsSe2 (GGA-PBEsol, Alexandria).

Summary:
formation energy without anion corrections: -0.55 eV per atom

a = 5.462 Å, b = 5.377 Å, c = 5.596 Å
α = 90.00°, β = 93.10°, γ = 90.00°
Space group P2_1/m (No. 11)
Unique sites:
1 Li 0.247 0.250 0.498
2 As 0.288 0.750 0.914
3 Se 0.248 0.750 0.494
4 Se 0.257 0.250 0.997

***

# LiAsSe2

A relaxed structure of LiAsSe2 (GGA-PBEsol, Alexandria).

Summary:
formation energy without anion corrections: -0.56 eV per atom

a = 3.8070 Å, b = 3.8070 Å, c = 19.0397 Å
α = 90.00°, β = 90.00°, γ = 120.00°
Space group R-3m (No. 166, hexagonal axes)
Unique sites:
1 Li 0.0000 0.0000 0.0000
2 As 0.0000 0.0000 0.5000
3 Se 0.0000 0.0000 0.2477

***

# LiAsSe2

A relaxed structure of LiAsSe2 (GGA-PBEsol, Alexandria).

Summary:
formation energy without anion corrections: -0.49 eV per atom

a = 3.819 Å, b = 3.819 Å, c = 5.257 Å
α = 90.00°, β = 90.00°, γ = 90.00°
Space group P4/mmm (No. 123)
Unique sites:
1 Li 0.000 0.000 0.000
2 As 0.500 0.500 0.500
3 Se 0.000 0.000 0.500
4 Se 0.500 0.500 0.000

***

# LiAs2Se

A relaxed structure of LiAs2Se (GGA-PBEsol, Alexandria).

Summary:
formation energy without anion corrections: -0.07 eV per atom

a = 3.689 Å, b = 5.030 Å, c = 8.050 Å
α = 90.00°, β = 90.00°, γ = 90.00°
Space group Cmm2 (No. 35)
Unique sites:
1 Li 0.000 0.000 0.000
2 As 0.000 0.000 0.489
3 As 0.000 0.500 0.269
4 Se 0.000 0.500 0.789

***

# Li2AsSe

A relaxed structure of Li2AsSe (GGA-PBEsol, Alexandria).

Summary:
energy above the lowest structure with this stoichiometry: 0.000 eV per atom
formation energy without anion corrections: -0.59 eV per atom

a = 4.101 Å, b = 4.101 Å, c = 7.812 Å
α = 90.00°, β = 90.00°, γ = 90.00°
Space group I4/mmm (No. 139)
Unique sites:
1 Li 0.000 0.500 0.250
2 As 0.000 0.000 0.000
3 Se 0.000 0.000 0.500

***

# LiAsSe2

A relaxed structure of LiAsSe2 (GGA-PBEsol, Alexandria).

Summary:
formation energy without anion corrections: -0.56 eV per atom

a = 12.234 Å, b = 5.405 Å, c = 5.442 Å
α = 90.00°, β = 113.26°, γ = 90.00°
Space group Cc (No. 9)
Unique sites:
1 Li 0.000 0.240 0.000
2 As 0.217 0.269 0.673
3 Se 0.008 0.258 0.512
4 Se 0.259 0.260 0.257

***

# LiAs2Se

A relaxed structure of LiAs2Se (GGA-PBEsol, Alexandria).

Summary:
formation energy without anion corrections: -0.11 eV per atom

a = 2.751 Å, b = 5.257 Å, c = 5.281 Å
α = 90.00°, β = 90.00°, γ = 90.00°
Space group Pmmm (No. 47)
Unique sites:
1 Li 0.000 0.000 0.000
2 As 0.500 0.500 0.237
3 Se 0.500 0.000 0.500

***

# Li2AsSe

A relaxed structure of Li2AsSe (GGA-PBEsol, Alexandria).

Summary:
energy above the lowest structure with this stoichiometry: 0.126 eV per atom
formation energy without anion corrections: -0.47 eV per atom

a = 7.196 Å, b = 7.196 Å, c = 5.359 Å
α = 90.00°, β = 90.00°, γ = 90.00°
Space group I-42d (No. 122)
Unique sites:
1 Li 0.227 0.750 0.125
2 As 0.000 0.000 0.500
3 Se 0.000 0.000 0.000

***

# LiTaAs2Se

A relaxed structure of LiTaAs2Se (GGA-PBEsol, Alexandria).

Summary:
formation energy without anion corrections: 0.71 eV per atom

a = 4.306 Å, b = 4.306 Å, c = 4.705 Å
α = 90.00°, β = 90.00°, γ = 90.00°
Space group P4/mmm (No. 123)
Unique sites:
1 Li 0.000 0.000 0.000
2 Ta 0.500 0.500 0.500
3 As 0.000 0.500 0.000
4 Se 0.000 0.000 0.500

***

# LiTaAsSe2

A relaxed structure of LiTaAsSe2 (GGA-PBEsol, Alexandria).

Summary:
formation energy without anion corrections: 0.71 eV per atom

a = 5.181 Å, b = 5.181 Å, c = 4.810 Å
α = 90.00°, β = 90.00°, γ = 90.00°
Space group P4/mmm (No. 123)
Unique sites:
1 Li 0.000 0.000 0.000
2 Ta 0.500 0.500 0.000
3 As 0.500 0.500 0.500
4 Se 0.000 0.500 0.500

***

# LiTiAsSe2

A relaxed structure of LiTiAsSe2 (GGA-PBEsol, Alexandria).

Summary:
formation energy without anion corrections: -0.45 eV per atom

a = 4.907 Å, b = 4.907 Å, c = 4.873 Å
α = 90.00°, β = 90.00°, γ = 90.00°
Space group P4/mmm (No. 123)
Unique sites:
1 Li 0.000 0.000 0.000
2 Ti 0.500 0.500 0.500
3 As 0.500 0.500 0.000
4 Se 0.000 0.500 0.500

***

# LiYAs2Se

A relaxed structure of LiYAs2Se (GGA-PBEsol, Alexandria).

Summary:
formation energy without anion corrections: -0.38 eV per atom

a = 4.479 Å, b = 4.479 Å, c = 4.889 Å
α = 90.00°, β = 90.00°, γ = 90.00°
Space group P4/mmm (No. 123)
Unique sites:
1 Li 0.000 0.000 0.000
2 Y 0.500 0.500 0.500
3 As 0.000 0.500 0.000
4 Se 0.000 0.000 0.500

***

# LiZnAs2Se

A relaxed structure of LiZnAs2Se (GGA-PBEsol, Alexandria).

Summary:
formation energy without anion corrections: 0.47 eV per atom

a = 4.491 Å, b = 4.491 Å, c = 4.667 Å
α = 90.00°, β = 90.00°, γ = 90.00°
Space group P4/mmm (No. 123)
Unique sites:
1 Li 0.000 0.000 0.000
2 Zn 0.500 0.500 0.500
3 As 0.000 0.500 0.000
4 Se 0.000 0.000 0.500

***

# LiSi3As

A relaxed structure of LiSi3As (GGA-PBEsol, Alexandria).

Summary:
formation energy without anion corrections: 0.86 eV per atom

a = 4.760 Å, b = 4.760 Å, c = 4.760 Å
α = 90.00°, β = 90.00°, γ = 90.00°
Space group Pm-3m (No. 221)
Unique sites:
1 Li 0.000 0.000 0.000
2 Si 0.000 0.500 0.500
3 As 0.500 0.500 0.500

***

# SrLi2SiAs

A relaxed structure of SrLi2SiAs (GGA-PBEsol, Alexandria).

Summary:
formation energy without anion corrections: 1.17 eV per atom

a = 5.197 Å, b = 5.197 Å, c = 5.370 Å
α = 90.00°, β = 90.00°, γ = 90.00°
Space group P4/mmm (No. 123)
Unique sites:
1 Sr 0.000 0.000 0.000
2 Li 0.000 0.500 0.000
3 Si 0.000 0.000 0.500
4 As 0.500 0.500 0.500

***

# Li2SnAs2

A relaxed structure of Li2SnAs2 (GGA-PBEsol, Alexandria).

Summary:
energy above the lowest structure with this stoichiometry: 0.000 eV per atom
energy relative to the elements: -0.395 eV per atom

a = 7.973 Å, b = 7.973 Å, c = 2.848 Å
α = 90.00°, β = 90.00°, γ = 90.00°
Space group P4/mbm (No. 127)
Unique sites:
1 Li 0.121 0.379 0.000
2 Sn 0.000 0.000 0.500
3 As 0.176 0.676 0.500

***

Number 1: electronic total energy -30.8 eV/cell. Number 2: electronic total energy -16.9 eV/cell. Number 3: electronic total energy -70.1 eV/cell. Number 4: electronic total energy -18.3 eV/cell. Number 5: electronic total energy -21.6 eV/cell. Number 6: electronic total energy -27.7 eV/cell. Number 7: electronic total energy -35.2 eV/cell. Number 8: electronic total energy -48.0 eV/cell. Number 9: electronic total energy -44.0 eV/cell. Number 10: electronic total energy -85.8 eV/cell. Number 11: electronic total energy -33.7 eV/cell. Number 12: electronic total energy -32.3 eV/cell. Number 13: electronic total energy -31.3 eV/cell. Number 14: electronic total energy -34.0 eV/cell. Number 15: electronic total energy -51.0 eV/cell. Number 16: electronic total energy -16.7 eV/cell. Number 17: electronic total energy -32.6 eV/cell. Number 18: electronic total energy -30.5 eV/cell. Number 19: electronic total energy -68.1 eV/cell. Number 20: electronic total energy -16.5 eV/cell. Number 21: electronic total energy -59.1 eV/cell. Number 22: electronic total energy -25.1 eV/cell. Number 23: electronic total energy -23.8 eV/cell. Number 24: electronic total energy -25.3 eV/cell. Number 25: electronic total energy -24.7 eV/cell. Number 26: electronic total energy -15.2 eV/cell. Number 27: electronic total energy -20.0 eV/cell. Number 28: electronic total energy -10.8 eV/cell. Number 29: electronic total energy -40.8 eV/cell.